No. 1
Crystalline Sb2PbO at its relaxed geometry. Source: the Alexandria database, functional PBE.

Properties
crystal system	tetragonal
E above lowest polymorph	0.0	meV per atom

Unit cell a=5.7390 b=5.7390 c=13.6113 alpha=90.00 beta=90.00 gamma=90.00
With the nearest neighbours (Å) after each atom.
Space group I-42d (No. 122)
Inequivalent atoms, fractional coordinates:
Sb: 0.1117 0.2500 0.1250 [8 per cell]  2 O 2.32
Pb: 0.0000 0.0000 0.5000 [4 per cell]  4 Sb 3.15
O: 0.0000 0.0000 0.0000 [4 per cell]  4 Sb 2.32

No. 2
Crystalline SbPbO2 at its relaxed geometry. Source: the Alexandria database, functional PBE.

Properties
crystal system	tetragonal
E above lowest polymorph	305.5	meV per atom

Unit cell a=5.5938 b=5.5938 c=10.8455 alpha=90.00 beta=90.00 gamma=90.00
With the nearest neighbours (Å) after each atom.
Space group I-42d (No. 122)
Inequivalent atoms, fractional coordinates:
Sb: 0.0000 0.0000 0.0000 [4 per cell]  4 O 2.24
Pb: 0.0000 0.0000 0.5000 [4 per cell]  4 O 2.58
O: 0.1964 0.2500 0.1250 [8 per cell]  2 Sb 2.24

No. 3
Crystalline SbPb2O4 at its relaxed geometry. Source: the Alexandria database, functional PBE.

Properties
crystal system	orthorhombic

Unit cell a=6.1317 b=10.7259 c=3.5273 alpha=90.00 beta=90.00 gamma=90.00
With the nearest neighbours (Å) after each atom.
Space group Cmmm (No. 65)
Inequivalent atoms, fractional coordinates:
Sb: 0.0000 0.0000 0.0000 [2 per cell]  4 O 2.29
Pb: 0.0000 0.3272 0.5000 [4 per cell]  6 O 2.46-2.48
O: 0.2371 0.0000 0.5000 [4 per cell]  2 Sb 2.29, 2 Pb 2.46
O: 0.2500 0.2500 0.0000 [4 per cell]  4 Pb 2.48

No. 4
Crystalline Sb2Pb2O at its relaxed geometry. Source: the Alexandria database, functional PBE.

Properties
crystal system	tetragonal
E above lowest polymorph	0.0	meV per atom

Unit cell a=6.5310 b=6.5310 c=6.1826 alpha=90.00 beta=90.00 gamma=90.00
With the nearest neighbours (Å) after each atom.
Space group P4/mbm (No. 127)
Inequivalent atoms, fractional coordinates:
Sb: 0.2247 0.2753 0.0000 [4 per cell]  2 O 2.32
Pb: 0.1883 0.6883 0.5000 [4 per cell]  2 Sb 3.19, 5 Pb 3.36-3.48
O: 0.0000 0.0000 0.0000 [2 per cell]  4 Sb 2.32

No. 5
Crystalline Sb2Pb2O at its relaxed geometry. Source: the Alexandria database, functional PBE.

Properties
crystal system	tetragonal
E above lowest polymorph	3.4	meV per atom

Unit cell a=6.3736 b=6.3736 c=7.1981 alpha=90.00 beta=90.00 gamma=90.00
With the nearest neighbours (Å) after each atom.
Space group I4/mmm (No. 139)
Inequivalent atoms, fractional coordinates:
Sb: 0.0000 0.0000 0.2229 [4 per cell]  1 O 1.99
Pb: 0.0000 0.5000 0.2500 [4 per cell]  4 Sb 3.19
O: 0.0000 0.0000 0.5000 [2 per cell]  2 Sb 1.99

No. 6
Crystalline SbPbO2 at its relaxed geometry. Source: the Alexandria database, functional PBE.

Properties
crystal system	trigonal
E above lowest polymorph	156.8	meV per atom

Unit cell a=3.4531 b=3.4531 c=21.7897 alpha=90.00 beta=90.00 gamma=120.00
With the nearest neighbours (Å) after each atom.
Space group R-3m (No. 166, hexagonal axes)
Inequivalent atoms, fractional coordinates:
Sb: 0.0000 0.0000 0.0000 [3 per cell]  6 O 2.32
Pb: 0.0000 0.0000 0.5000 [3 per cell]  2 O 2.45
O: 0.0000 0.0000 0.3877 [6 per cell]  3 Sb 2.32, 1 Pb 2.45

No. 7
Crystalline Sb2PbO at its relaxed geometry. Source: the Alexandria database, functional PBE.

Properties
crystal system	cubic
E above lowest polymorph	514.3	meV per atom

Unit cell a=7.1287 b=7.1287 c=7.1287 alpha=90.00 beta=90.00 gamma=90.00
With the nearest neighbours (Å) after each atom.
Space group Fm-3m (No. 225)
Inequivalent atoms, fractional coordinates:
Sb: 0.2500 0.2500 0.2500 [8 per cell]  4 O 3.09, 4 Pb 3.09
Pb: 0.0000 0.0000 0.0000 [4 per cell]  8 Sb 3.09
O: 0.0000 0.0000 0.5000 [4 per cell]  8 Sb 3.09

No. 8
Crystalline ScSbPb2O6 at its relaxed geometry. Source: the Alexandria database, functional PBE.

Properties
crystal system	orthorhombic
E above lowest polymorph	11.1	meV per atom

Unit cell a=5.7865 b=8.1949 c=5.8396 alpha=90.00 beta=90.00 gamma=90.00
With the nearest neighbours (Å) after each atom.
Space group Pmmn (No. 59, origin choice 2)
Inequivalent atoms, fractional coordinates:
Sc: 0.2500 0.2500 0.2345 [2 per cell]  6 O 2.05-2.17
Sb: 0.2500 0.7500 0.2471 [2 per cell]  6 O 1.98-2.02
Pb: 0.2500 0.0129 0.7171 [4 per cell]  7 O 2.60-2.91
O: 0.0011 0.2500 0.5119 [4 per cell]  1 Sb 2.02, 1 Sc 2.17
O: 0.0033 0.7500 0.0112 [4 per cell]  1 Sb 1.98, 1 Sc 2.05
O: 0.2500 0.5059 0.2734 [4 per cell]  1 Sb 2.01, 1 Sc 2.11

| no. | electronic total energy (eV for the cell shown) | ΔE_f (raw) (meV per atom) |
| --- | --- | --- |
| 1 | -70.4 | -173 |
| 2 | -81.8 | -679 |
| 3 | -74.0 | -807 |
| 4 | -42.5 | -121 |
| 5 | -42.4 | -118 |
| 6 | -63.2 | -827 |
| 7 | -62.2 | 342 |
| 8 | -132.2 | -1850 |